Entry 1:
BaH2I after structural relaxation. Source: Alexandria via LeMat-Bulk, functional PBE.

Cell: 4.6070 4.6178 10.4222 Å, 102.47 95.85 90.10°
Fractional coordinates of all 8 atoms:
H1 0.0623 0.6972 0.9435
H2 0.5622 0.1973 0.9436
H3 0.6553 0.8433 0.3954
I1 0.1279 0.3354 0.2258
H4 0.6957 0.9997 0.3918
Ba1 0.5946 0.7651 0.0824
Ba2 0.0301 0.1302 0.8065
I2 0.4952 0.5582 0.6590

Values from the calculation:
Magnetization, μB per cell: 0.00
Raw total energy, eV per cell: -27.633
SG: P1 (1)

Entry 2:
BaHI after structural relaxation. Source: Alexandria via LeMat-Bulk, functional PBE.

Cell: 4.6012 9.9362 8.3366 Å, 90.00 90.00 90.00°
Fractional coordinates of all 12 atoms:
H1 0.2500 0.0308 0.1148
H2 0.2500 0.4692 0.6148
Ba1 0.2500 0.0728 0.8074
Ba2 0.7500 0.9272 0.1926
Ba3 0.7500 0.5728 0.6926
H3 0.7500 0.9692 0.8852
H4 0.7500 0.5308 0.3852
I1 0.7500 0.1891 0.4937
I2 0.2500 0.6891 0.0063
I3 0.7500 0.3109 0.9937
I4 0.2500 0.8109 0.5063
Ba4 0.2500 0.4272 0.3074

Values from the calculation:
Magnetization, μB per cell: 0.00
Raw total energy, eV per cell: -41.381
SG: Pnma (62)

Entry 3:
BaH2I after structural relaxation. Source: Alexandria via LeMat-Bulk, functional PBE.

Cell: 6.1833 6.2029 11.4569 Å, 90.00 90.00 90.00°
Fractional coordinates of all 16 atoms:
I1 0.0000 0.5000 0.3004
Ba1 0.5000 0.5000 0.8461
Ba2 0.0000 0.0000 0.8461
Ba3 0.5000 0.5000 0.1539
I2 0.5000 0.0000 0.6996
H1 0.7500 0.2500 0.0000
I3 0.5000 0.0000 0.3004
H2 0.9391 0.0000 0.5000
H3 0.5609 0.5000 0.5000
H4 0.2500 0.7500 0.0000
H5 0.7500 0.7500 0.0000
H6 0.0609 0.0000 0.5000
H7 0.4391 0.5000 0.5000
Ba4 0.0000 0.0000 0.1539
H8 0.2500 0.2500 0.0000
I4 0.0000 0.5000 0.6996

Values from the calculation:
Magnetization, μB per cell: 0.00
Raw total energy, eV per cell: -53.635
SG: Cmmm (65)

Entry 4:
Ba5H3I12 after structural relaxation. Source: Alexandria via LeMat-Bulk, functional PBE.

Cell: 18.2482 18.2482 18.2482 Å, 109.47 109.47 109.47°
Last column: magnetic moment on the atom in μB.
Fractional coordinates of all 80 atoms:
I1 0.5622 0.9636 0.6807  0.12
I2 0.5986 0.0364 0.2171  0.12
Ba1 0.7500 0.1250 0.8750  0.00
I3 0.4636 0.6807 0.0622  0.12
I4 0.4014 0.9636 0.7829  0.12
I5 0.5986 0.5622 0.8815  0.12
I6 0.9636 0.4014 0.2829  0.12
Ba2 0.0000 0.0000 0.0000  0.00
H1 0.1250 0.2500 0.8750  0.38
Ba3 0.8750 0.6250 0.7500  0.00
H2 0.2500 0.6250 0.8750  0.38
Ba4 0.1250 0.3750 0.2500  0.00
H3 0.6250 0.3750 0.7500  0.38
I7 0.0364 0.4378 0.8193  0.12
I8 0.5622 0.5986 0.3815  0.12
I9 0.0986 0.7171 0.5364  0.12
I10 0.1807 0.0622 0.9636  0.12
I11 0.8815 0.0622 0.5986  0.12
Ba5 0.7500 0.6250 0.3750  0.00
I12 0.9014 0.6185 0.9378  0.12
I13 0.3815 0.2829 0.3193  0.12
Ba6 0.3750 0.1250 0.7500  0.00
I14 0.3193 0.7829 0.3815  0.12
Ba7 0.5000 0.0000 0.0000  0.00
I15 0.9636 0.5622 0.1807  0.12
I16 0.1185 0.9378 0.4014  0.12
I17 0.7829 0.4636 0.4014  0.12
Ba8 0.2500 0.3750 0.6250  0.00
I18 0.4378 0.0364 0.3193  0.12
I19 0.1185 0.1807 0.2171  0.12
I20 0.9014 0.2829 0.4636  0.12
I21 0.7829 0.3193 0.8815  0.12
I22 0.6807 0.4636 0.5622  0.12
H4 0.6250 0.2500 0.3750  0.38
I23 0.0622 0.1807 0.4636  0.12
I24 0.4636 0.7829 0.9014  0.12
Ba9 0.6250 0.8750 0.2500  0.00
I25 0.6185 0.9014 0.4378  0.12
I26 0.9378 0.1185 0.9014  0.12
I27 0.2171 0.5364 0.5986  0.12
H5 0.8750 0.7500 0.1250  0.38
I28 0.2171 0.6807 0.1185  0.12
Ba10 0.2500 0.8750 0.1250  0.00
H6 0.1250 0.8750 0.7500  0.38
Ba11 0.6250 0.7500 0.8750  0.00
I29 0.8193 0.8815 0.2829  0.12
I30 0.5364 0.2171 0.0986  0.12
Ba12 0.5000 0.0000 0.5000  0.00
I31 0.6807 0.2171 0.6185  0.12
I32 0.0364 0.5986 0.7171  0.12
I33 0.2829 0.3815 0.8193  0.12
I34 0.4378 0.4014 0.6185  0.12
I35 0.8815 0.8193 0.7829  0.12
Ba13 0.0000 0.0000 0.5000  0.00
I36 0.2829 0.9014 0.9636  0.12
I37 0.8193 0.9378 0.0364  0.12
H7 0.7500 0.8750 0.6250  0.38
Ba14 0.3750 0.2500 0.1250  0.00
I38 0.3815 0.0986 0.5622  0.12
H8 0.8750 0.1250 0.2500  0.38
I39 0.6185 0.7171 0.6807  0.12
H9 0.7500 0.3750 0.1250  0.38
I40 0.0986 0.3815 0.0622  0.12
H10 0.2500 0.1250 0.3750  0.38
Ba15 0.5000 0.5000 0.5000  0.00
I41 0.7171 0.0986 0.0364  0.12
I42 0.0622 0.8815 0.0986  0.12
I43 0.3193 0.5364 0.4378  0.12
Ba16 0.0000 0.5000 0.5000  0.00
Ba17 0.5000 0.5000 0.0000  0.00
I44 0.1807 0.1185 0.7171  0.12
H11 0.3750 0.6250 0.2500  0.38
I45 0.9378 0.8193 0.5364  0.12
Ba18 0.1250 0.7500 0.3750  0.00
I46 0.7171 0.6185 0.1807  0.12
I47 0.4014 0.4378 0.1185  0.12
Ba19 0.8750 0.2500 0.6250  0.00
Ba20 0.0000 0.5000 0.0000  0.00
H12 0.3750 0.7500 0.6250  0.38
I48 0.5364 0.3193 0.9378  0.12

Values from the calculation:
Magnetization, μB per cell: 21.43
Raw total energy, eV per cell: -217.108
SG: Ia-3d (230)

Entry 5:
BaH2I after structural relaxation. Source: Alexandria via LeMat-Bulk, functional PBE.

Cell: 4.6128 4.6238 20.2307 Å, 90.00 90.81 90.00°
Fractional coordinates of all 16 atoms:
H1 0.8006 0.5000 0.6899
Ba1 0.3047 0.0000 0.2582
H2 0.3005 0.0000 0.6900
Ba2 0.7963 0.0000 0.6207
H3 0.7861 0.4182 0.9692
H4 0.7861 0.9182 0.4692
H5 0.8006 0.0000 0.1899
I1 0.2919 0.5000 0.5490
H6 0.3005 0.5000 0.1900
Ba3 0.7963 0.5000 0.1207
I2 0.8095 0.0000 0.8317
I3 0.2919 0.0000 0.0490
H7 0.7861 0.5818 0.9692
H8 0.7861 0.0818 0.4692
Ba4 0.3047 0.5000 0.7582
I4 0.8095 0.5000 0.3317

Values from the calculation:
Magnetization, μB per cell: 0.00
Raw total energy, eV per cell: -55.266
SG: Cm (8)

Entry 6:
BaH2I after structural relaxation. Source: Alexandria via LeMat-Bulk, functional PBE.

Cell: 4.6821 6.7575 6.9023 Å, 78.89 81.74 74.95°
Fractional coordinates of all 8 atoms:
I1 0.6022 0.9996 0.7932
Ba1 0.2313 0.5589 0.8750
H1 0.0405 0.3736 0.5229
H2 0.9651 0.3234 0.6179
I2 0.4048 0.6937 0.3436
Ba2 0.7753 0.1341 0.2622
H3 0.7675 0.4138 0.9531
H4 0.2391 0.2793 0.1843

Values from the calculation:
Magnetization, μB per cell: 0.00
Raw total energy, eV per cell: -27.158
SG: P1 (1)

Entry 7:
BaHI2 after structural relaxation. Source: Alexandria via LeMat-Bulk, functional PBE.

Cell: 4.6875 7.1905 9.7993 Å, 88.81 81.48 87.96°
Fractional coordinates of all 8 atoms:
I1 0.3484 0.4428 0.9401
H1 0.9950 0.6477 0.5214
I2 0.4586 0.9736 0.7387
H2 0.2260 0.6645 0.0397
I3 0.5414 0.2982 0.3944
Ba1 0.5210 0.7797 0.4195
I4 0.0967 0.8787 0.1515
Ba2 0.9547 0.3321 0.6717

Values from the calculation:
Magnetization, μB per cell: 0.05
Raw total energy, eV per cell: -25.025
SG: P1 (1)

Entry 8:
BaH2I after structural relaxation. Source: Alexandria via LeMat-Bulk, functional PBE.

Cell: 4.7944 6.5347 6.8592 Å, 90.00 90.00 109.14°
Fractional coordinates of all 8 atoms:
Ba1 0.6856 0.7219 0.2500
H1 0.9045 0.4698 0.6884
Ba2 0.3144 0.2781 0.7500
H2 0.9045 0.4698 0.8116
I1 0.6352 0.8551 0.7500
H3 0.0955 0.5302 0.1884
H4 0.0955 0.5302 0.3116
I2 0.3648 0.1449 0.2500

Values from the calculation:
Magnetization, μB per cell: 0.00
Raw total energy, eV per cell: -25.593
SG: P2_1/m (11)

Entry 9:
BaHI2 after structural relaxation. Source: Alexandria via LeMat-Bulk, functional PBE.

Cell: 5.2047 6.6811 11.3396 Å, 90.00 103.27 90.00°
Last column: magnetic moment on the atom in μB.
Fractional coordinates of all 8 atoms:
I1 0.5711 0.7500 0.1423  0.02
I2 0.4289 0.2500 0.8577  0.02
I3 0.2186 0.2500 0.4372  0.01
I4 0.7814 0.7500 0.5628  0.01
H1 0.0534 0.2500 0.1068  0.38
Ba1 0.1657 0.7500 0.3313  0.00
Ba2 0.8343 0.2500 0.6687  0.00
H2 0.9466 0.7500 0.8932  0.38

Values from the calculation:
Magnetization, μB per cell: 2.00
Raw total energy, eV per cell: -22.570
SG: Cmcm (63)

Entry 10:
BaH2I2 after structural relaxation. Source: Alexandria via LeMat-Bulk, functional PBE.

Cell: 4.6434 6.4197 13.3913 Å, 74.43 80.02 68.80°
Fractional coordinates of all 10 atoms:
Ba1 0.1984 0.9644 0.6389
I1 0.6690 0.7801 0.8819
H1 0.2065 0.5013 0.0856
Ba2 0.8016 0.0356 0.3611
H2 0.7935 0.4987 0.9144
H3 0.2395 0.0803 0.4407
H4 0.7605 0.9197 0.5593
I2 0.3310 0.2199 0.1181
I3 0.5352 0.6409 0.2887
I4 0.4648 0.3591 0.7113

Values from the calculation:
Magnetization, μB per cell: 0.00
Raw total energy, eV per cell: -29.925
SG: C2/m (12)

Entry 11:
Ba4H6I after structural relaxation. Source: Alexandria via LeMat-Bulk, functional PBE.

Cell: 4.2243 8.2968 8.2968 Å, 120.00 90.00 90.00°
Last column: magnetic moment on the atom in μB.
Fractional coordinates of all 11 atoms:
H1 0.0000 0.9256 0.4628  0.00
Ba1 0.5000 0.8172 0.1828  0.09
I1 0.0000 0.0000 0.0000  0.01
H2 0.0000 0.5372 0.0744  0.00
H3 0.5000 0.2003 0.4006  0.00
H4 0.5000 0.5994 0.7997  0.00
H5 0.5000 0.2003 0.7997  0.00
Ba2 0.0000 0.3333 0.6667  0.01
Ba3 0.5000 0.8172 0.6343  0.09
H6 0.0000 0.5372 0.4628  0.00
Ba4 0.5000 0.3657 0.1828  0.09

Values from the calculation:
Magnetization, μB per cell: 0.70
Raw total energy, eV per cell: -35.543
SG: P-6m2 (187)

Entry 12:
Ba2HI after structural relaxation. Source: Alexandria via LeMat-Bulk, functional PBE.

Cell: 7.2703 7.2195 11.6731 Å, 91.75 90.00 90.00°
Last column: magnetic moment on the atom in μB.
Fractional coordinates of all 16 atoms:
Ba1 0.2353 0.4992 0.4276  0.20
I1 0.2770 0.5019 0.1248  0.02
Ba2 0.7776 0.4856 0.1776  0.20
I2 0.2770 0.9981 0.3752  0.02
H1 0.9047 0.1465 0.1246  0.00
Ba3 0.2224 0.5144 0.8224  0.20
Ba4 0.2353 0.0008 0.0724  0.20
H2 0.0953 0.8535 0.8754  0.00
Ba5 0.7647 0.5008 0.5724  0.20
I3 0.7230 0.4981 0.8752  0.02
H3 0.9047 0.3535 0.3754  0.00
H4 0.0953 0.6465 0.6246  0.00
Ba6 0.2224 0.9856 0.6776  0.20
I4 0.7230 0.0019 0.6248  0.02
Ba7 0.7776 0.0144 0.3224  0.20
Ba8 0.7647 0.9992 0.9276  0.20

Values from the calculation:
Magnetization, μB per cell: 6.62
Raw total energy, eV per cell: -47.588
SG: P2/c (13)

Entry 13:
Ba2H4I3 after structural relaxation. Source: Alexandria via LeMat-Bulk, functional PBE.

Cell: 4.9338 5.9789 10.1737 Å, 62.99 76.12 66.22°
Last column: magnetic moment on the atom in μB.
Fractional coordinates of all 9 atoms:
I1 0.6415 0.0836 0.6388  0.02
H1 0.0078 0.5683 0.4804  0.00
H2 0.9922 0.4317 0.5196  0.00
Ba1 0.6865 0.4209 0.2093  0.03
Ba2 0.3135 0.5791 0.7907  0.03
I2 0.3585 0.9164 0.3612  0.02
H3 0.7829 0.5064 0.9243  0.11
H4 0.2171 0.4936 0.0757  0.11
I3 0.0000 0.0000 0.0000  0.23

Values from the calculation:
Magnetization, μB per cell: 1.02
Raw total energy, eV per cell: -28.459
SG: P-1 (2)

Entry 14:
BaHI2 after structural relaxation. Source: Alexandria via LeMat-Bulk, functional PBE.

Cell: 10.5310 6.1638 10.0095 Å, 90.00 111.59 90.00°
Fractional coordinates of all 16 atoms:
I1 0.7737 0.0000 0.1298
I2 0.5227 0.5000 0.1814
I3 0.5227 0.0000 0.6814
H1 0.3384 0.5000 0.9382
Ba1 0.4145 0.5000 0.4732
I4 0.2610 0.0000 0.2541
H2 0.1801 0.0000 0.9813
H3 0.1801 0.5000 0.4813
I5 0.0237 0.0000 0.5553
I6 0.7737 0.5000 0.6298
Ba2 0.4145 0.0000 0.9732
Ba3 0.9209 0.5000 0.3538
I7 0.2610 0.5000 0.7541
I8 0.0237 0.5000 0.0553
Ba4 0.9209 0.0000 0.8538
H4 0.3384 0.0000 0.4382

Values from the calculation:
Magnetization, μB per cell: 0.00
Raw total energy, eV per cell: -49.793
SG: Cm (8)

Entry 15:
BaH3I after structural relaxation. Source: Alexandria via LeMat-Bulk, functional PBE.

Cell: 4.5883 4.5883 4.5883 Å, 90.00 90.00 90.00°
Fractional coordinates of all 5 atoms:
H1 0.0000 0.5000 0.0000
I1 0.0000 0.0000 0.0000
H2 0.5000 0.0000 0.0000
Ba1 0.5000 0.5000 0.5000
H3 0.0000 0.0000 0.5000

Values from the calculation:
Magnetization, μB per cell: 0.00
Raw total energy, eV per cell: -11.379
SG: Pm-3m (221)

Entry 16:
BaHI after structural relaxation. Source: Alexandria via LeMat-Bulk, functional PBE.

Cell: 5.1034 4.5299 4.5299 Å, 120.00 90.00 90.00°
Fractional coordinates of all 3 atoms:
Ba1 0.1665 0.6667 0.3333
I1 0.6664 0.3333 0.6667
H1 0.1671 0.0000 0.0000

Values from the calculation:
Magnetization, μB per cell: 0.00
Raw total energy, eV per cell: -10.354
SG: P-6m2 (187)

Entry 17:
BaHI2 after structural relaxation. Source: Alexandria via LeMat-Bulk, functional PBE.

Cell: 5.5698 7.0478 8.6382 Å, 73.95 81.32 78.41°
Fractional coordinates of all 8 atoms:
I1 0.5032 0.1499 0.8538
I2 0.7358 0.2294 0.2806
Ba1 0.0812 0.0467 0.6492
Ba2 0.5284 0.7803 0.2323
H1 0.9484 0.3710 0.1663
H2 0.3921 0.0050 0.4154
I3 0.0105 0.6099 0.5142
I4 0.1168 0.6677 0.0109

Values from the calculation:
Magnetization, μB per cell: 0.00
Raw total energy, eV per cell: -25.114
SG: P1 (1)

Entry 18:
BaH2I after structural relaxation. Source: Alexandria via LeMat-Bulk, functional PBE.

Cell: 4.5308 6.6801 7.2696 Å, 80.51 89.81 70.33°
Fractional coordinates of all 8 atoms:
H1 0.4780 0.9768 0.3226
I1 0.5415 0.8290 0.8833
Ba1 0.9148 0.0866 0.5462
H2 0.5238 0.8673 0.3867
I2 0.2014 0.5157 0.4589
H3 0.8431 0.2206 0.1956
Ba2 0.2722 0.3664 0.9835
H4 0.8145 0.2834 0.8169

Values from the calculation:
Magnetization, μB per cell: 0.00
Raw total energy, eV per cell: -26.921
SG: P1 (1)

Entry 19:
Ba2HI after structural relaxation. Source: Alexandria via LeMat-Bulk, functional PBE.

Cell: 4.3777 4.3777 8.8033 Å, 75.60 75.60 60.00°
Last column: magnetic moment on the atom in μB.
Fractional coordinates of all 4 atoms:
H1 0.0000 0.0000 0.0000  -0.01
Ba1 0.2694 0.2694 0.1918  0.22
I1 0.5000 0.5000 0.5000  0.01
Ba2 0.7306 0.7306 0.8082  0.22

Values from the calculation:
Magnetization, μB per cell: 1.43
Raw total energy, eV per cell: -11.798
SG: R-3m (166)

Entry 20:
Ba2HI after structural relaxation. Source: Alexandria via LeMat-Bulk, functional PBE.

Cell: 5.7810 5.7810 5.7810 Å, 60.00 60.00 60.00°
Last column: magnetic moment on the atom in μB.
Fractional coordinates of all 4 atoms:
H1 0.0000 0.0000 0.0000  -0.02
I1 0.5000 0.5000 0.5000  0.01
Ba1 0.7500 0.7500 0.7500  0.29
Ba2 0.2500 0.2500 0.2500  0.29

Values from the calculation:
Magnetization, μB per cell: 1.61
Raw total energy, eV per cell: -10.527
SG: Fm-3m (225)